[1]
Density functional theory data (PBE) for a relaxed SbH8Ir2 crystal.

a b c (Å): 3.516 3.516 8.159
angles (deg): 100.83 100.83 105.23
Atoms (fractional coordinates):
H: 0.323 0.763 0.331
H: 0.763 0.323 0.331
H: 0.513 0.513 0.130
H: 0.218 0.218 0.482
H: 0.237 0.677 0.669
H: 0.782 0.782 0.518
H: 0.487 0.487 0.870
H: 0.677 0.237 0.669
Ir: 0.177 0.177 0.685
Ir: 0.823 0.823 0.315
Sb: 0.000 0.000 0.000

Calculated values
spin magnetization: 0.0 μB/f.u.
final energy: -0.3082 Ry per atom
space-group type: No. 12



[2]
Density functional theory data (PBE) for a relaxed CrCuBr crystal.

a b c (Å): 4.423 4.423 4.423
angles (deg): 60.00 60.00 60.00
Atoms (fractional coordinates):
Br: 0.500 0.500 0.500
Cr: 0.250 0.250 0.250
Cu: 0.000 0.000 0.000

Calculated values
spin magnetization: 4.0 μB/f.u.
final energy: -0.3364 Ry per atom
space-group type: No. 216
E_form (uncorrected): 12.76 kcal/mol of atoms